No. 1
VASP calculation (PBE) on an optimized crystal structure of YRe5.

The structure in extended XYZ format:
```
6
Lattice="-4.243 0.522 -3.404 -2.883 -1.901 -4.235 -5.103 -3.775 2.654" Properties=species:S:1:pos:R:3 pbc="T T T"
Re -9.687 -3.473 -5.727
Re -4.122 -1.801 -1.496
Re -7.946 -3.393 -3.110
Re -5.785 -1.922 -3.862
Re -0.254 -0.111 -0.092
Y -6.854 -3.904 0.163
```

Crystal system: monoclinic
Symmetry: Cm (8)
E above lowest polymorph, meV/atom: 156
Energy of formation, kcal/mol of atoms: 6.55

---

No. 2
VASP calculation (PBE) on an optimized crystal structure of CeTmThPb.

The structure in extended XYZ format:
```
4
Lattice="5.484 0.000 0.000 2.742 4.749 0.000 2.742 1.583 4.478" Properties=species:S:1:pos:R:3 pbc="T T T"
Th 8.226 4.749 3.358
Pb 0.000 0.000 0.000
Tm 2.742 1.583 1.119
Ce 5.484 3.166 2.239
```

Crystal system: cubic
Symmetry: F-43m (216)
Energy of formation, kcal/mol of atoms: 0.74

---

No. 3
VASP calculation (PBE) on an optimized crystal structure of Tb2PmTmSe4.

The structure in extended XYZ format:
```
8
Lattice="4.044 0.000 0.000 0.000 7.066 -0.158 0.000 2.473 6.780" Properties=species:S:1:pos:R:3 pbc="T T T"
Tb 2.022 1.236 3.390
Tb 0.000 2.473 6.780
Se 2.022 3.619 4.985
Se 0.000 7.155 4.904
Se 4.044 2.383 1.718
Se 2.022 5.920 1.636
Pm 2.022 6.006 6.700
Tm 0.000 4.769 3.311
```

Crystal system: monoclinic
Symmetry: P2/m (10)
Energy, eV/atom: -5.81

---

No. 4
VASP calculation (PBE) on an optimized crystal structure of SrCuRu2.

The structure in extended XYZ format:
```
4
Lattice="2.951 0.000 0.000 0.000 4.807 0.076 0.000 3.428 4.909" Properties=species:S:1:pos:R:3 pbc="T T T"
Sr 1.476 4.118 2.492
Ru 0.000 0.000 0.000
Ru 1.476 2.404 0.038
Cu 0.000 1.714 2.454
```

Crystal system: monoclinic
Symmetry: P2/m (10)
E above lowest polymorph, meV/atom: 541
Energy of formation, kcal/mol of atoms: 16.08

---

No. 5
VASP calculation (PBE) on an optimized crystal structure of MoPRu.

The structure in extended XYZ format:
```
3
Lattice="0.000 2.377 5.953 1.524 0.000 5.953 1.524 2.377 0.000" Properties=species:S:1:pos:R:3 pbc="T T T"
P 1.524 2.377 3.927
Ru 1.524 2.377 8.118
Mo 1.524 2.377 11.766
```

Crystal system: orthorhombic
Symmetry: Fmm2 (42)
E above lowest polymorph, meV/atom: 702
Energy of formation, kcal/mol of atoms: 3.95

---

No. 6
VASP calculation (PBE) on an optimized crystal structure of AcScNiGe.

The structure in extended XYZ format:
```
4
Lattice="-1.964 1.817 4.295 0.431 -2.641 4.295 3.056 1.642 3.684" Properties=species:S:1:pos:R:3 pbc="T T T"
Ac 0.000 0.000 0.000
Sc 0.762 0.409 6.137
Ge 0.381 0.204 3.069
Ni 1.142 0.613 9.206
```

Crystal system: cubic
Symmetry: F-43m (216)
Energy of formation, kcal/mol of atoms: -7.24

---

No. 7
VASP calculation (PBE) on an optimized crystal structure of Er5Pb3.

The structure in extended XYZ format:
```
16
Lattice="-2.069 -2.084 5.569 -3.401 -8.359 -0.832 6.635 -4.324 4.405" Properties=species:S:1:pos:R:3 pbc="T T T"
Er 3.997 -4.380 3.404
Er -2.832 -10.387 5.738
Er 0.930 -3.068 2.756
Er -2.634 -7.672 3.268
Er 3.800 -7.095 5.874
Er 2.853 -10.020 4.428
Er 0.066 -7.904 5.963
Er 0.235 -11.699 6.386
Er 1.100 -6.862 3.179
Er -1.688 -4.747 4.714
Pb -0.195 -9.787 3.383
Pb -0.517 -0.521 1.392
Pb -0.902 -5.263 1.254
Pb 1.360 -4.980 5.759
Pb 2.068 -9.504 7.888
Pb -1.552 -1.563 4.177
```

Crystal system: tetragonal
Symmetry: I4/mcm (140)
E above lowest polymorph, meV/atom: 70
Energy of formation, kcal/mol of atoms: -10.34

---

No. 8
VASP calculation (PBE) on an optimized crystal structure of LiDy2Zn3Cu12.

The structure in extended XYZ format:
```
18
Lattice="9.110 1.695 1.203 5.973 7.084 1.203 5.973 3.477 6.289" Properties=species:S:1:pos:R:3 pbc="T T T"
Cu 16.067 7.312 7.348
Cu 9.879 4.357 4.566
Cu 16.067 9.352 4.471
Cu 4.990 2.905 4.222
Cu 8.667 6.438 4.566
Cu 6.764 1.897 1.345
Cu 4.990 4.945 1.345
Cu 14.293 10.360 7.348
Cu 12.390 5.819 4.127
Cu 9.879 5.750 2.603
Cu 11.178 7.900 4.127
Cu 11.178 6.507 6.091
Dy 7.364 4.287 3.040
Dy 13.693 7.970 5.653
Li 0.000 0.000 0.000
Zn 2.987 1.739 3.144
Zn 4.555 0.848 0.601
Zn 2.987 3.542 0.601
```

Crystal system: trigonal
Symmetry: R-3m (166)
Energy of formation, kcal/mol of atoms: 3.29

---

No. 9
VASP calculation (PBE) on an optimized crystal structure of LaPmPtN2.

The structure in extended XYZ format:
```
10
Lattice="-2.373 -3.294 -3.164 0.953 -4.079 3.532 -5.888 1.306 3.057" Properties=species:S:1:pos:R:3 pbc="T T T"
N -2.924 -3.254 3.202
N -6.303 -0.738 3.117
N -1.005 -5.329 0.308
N -4.384 -2.813 0.223
Pt 0.000 0.000 0.000
Pt -2.944 0.653 1.528
La -3.361 -4.997 -0.624
La -3.947 -1.070 4.049
Pm -5.605 -0.671 0.708
Pm -2.656 -1.318 -0.815
```

Crystal system: monoclinic
Symmetry: P2/c (13)
Energy, eV/atom: -7.41

---

No. 10
VASP calculation (PBE) on an optimized crystal structure of ZrCrTe2.

The structure in extended XYZ format:
```
4
Lattice="-2.888 -2.339 -0.603 2.271 -2.949 0.564 -1.567 0.131 6.994" Properties=species:S:1:pos:R:3 pbc="T T T"
Cr -1.483 -2.546 5.223
Te -1.412 0.118 6.300
Te -0.847 -2.599 2.384
Zr -0.793 0.066 3.539
```

Crystal system: tetragonal
Symmetry: P4mm (99)
E above lowest polymorph, meV/atom: 21

---

No. 11
VASP calculation (PBE) on an optimized crystal structure of TiV2Pd.

The structure in extended XYZ format:
```
4
Lattice="3.078 0.000 0.000 0.000 3.078 0.000 0.000 0.000 6.196" Properties=species:S:1:pos:R:3 pbc="T T T"
V 0.000 0.000 1.484
V 0.000 0.000 4.712
Pd 1.539 1.539 3.098
Ti 1.539 1.539 0.000
```

Crystal system: tetragonal
Symmetry: P4/mmm (123)
E above lowest polymorph, meV/atom: 61
Energy of formation, kcal/mol of atoms: -1.11

---

No. 12
VASP calculation (PBE) on an optimized crystal structure of PmCdCuGe.

The structure in extended XYZ format:
```
4
Lattice="4.890 0.000 0.000 2.445 4.235 0.000 2.445 1.412 3.993" Properties=species:S:1:pos:R:3 pbc="T T T"
Cu 7.335 4.235 2.995
Pm 0.000 0.000 0.000
Cd 4.890 2.823 1.996
Ge 2.445 1.412 0.998
```

Crystal system: cubic
Symmetry: F-43m (216)
Energy of formation, kcal/mol of atoms: -6.15

---

The evaluated DOS(E_F) for the records listed, in turn: 0.936 2.197 0.546 1.180 1.007 0.503 1.014 0.435 0.230 0.482 1.283 0.362 states/eV per atom.